Below is a geometry-optimized Tb2Nd3SmEr6 structure, with properties calculated at the PBE level.

The structure in POSCAR format:
```
Tb2Nd3SmEr6
1.0
3.098 -5.363 0.000
3.098 5.363 0.000
-2.057 0.000 11.564
Tb Nd Sm Er
2 3 1 6
Cartesian
3.098 3.575 0.000
3.098 -3.575 0.000
-1.028 0.000 5.782
2.069 1.788 5.782
2.069 -1.788 5.782
3.098 0.000 0.000
0.004 1.789 8.700
1.034 0.000 2.863
0.004 -1.789 8.700
4.134 1.789 2.864
3.104 0.000 8.701
4.134 -1.789 2.864
```

Calculated values
**Magnetization**: 0.000 μB/f.u.
**DFT total energy**: -4.62 eV/atom
**Crystal system**: monoclinic
**DFT formation energy**: 17 meV/atom
**Symmetry**: C2/m, No. 12
**Mass density**: 8.23 g cm⁻³